Crystalline ZnCu at its relaxed geometry. Source: OQMD, functional PBE-GGA.

Cell: 5.2260 4.5728 4.2781 Å, 90.00 90.00 90.00°
With the nearest neighbours (Å) after each atom.
Fractional coordinates of all 8 atoms:
Zn: 0.1363 0.0799 0.2500  6 Cu 2.55-2.68, 6 Zn 2.65-2.69
Zn: 0.1363 0.4201 0.7500  6 Cu 2.55-2.68, 6 Zn 2.65-2.69
Zn: 0.8637 0.5799 0.2500  6 Cu 2.55-2.68, 6 Zn 2.65-2.69
Zn: 0.8637 0.9201 0.7500  6 Cu 2.55-2.68, 6 Zn 2.65-2.69
Cu: 0.3761 0.5835 0.2500  6 Zn 2.55-2.68, 6 Cu 2.61-2.63
Cu: 0.3761 0.9165 0.7500  6 Zn 2.55-2.68, 6 Cu 2.61-2.63
Cu: 0.6239 0.0835 0.2500  6 Zn 2.55-2.68, 6 Cu 2.61-2.63
Cu: 0.6239 0.4165 0.7500  6 Zn 2.55-2.68, 6 Cu 2.61-2.63

* DFT total energy: -20.43 eV per cell
* volume: 12.8 Å³/atom
* crystal system: orthorhombic

Crystalline Cs2NiBi2 at its relaxed geometry. Source: OQMD, functional PBE-GGA.

Cell: 8.5638 8.5638 6.7602 Å, 90.00 90.00 125.34°
With the nearest neighbours (Å) after each atom.
Fractional coordinates of all 10 atoms:
Cs: 0.1125 0.8875 0.7500  6 Bi 3.93-4.18, 2 Cs 4.13
Cs: 0.3042 0.6958 0.2500  2 Ni 3.42
Cs: 0.6958 0.3042 0.7500  2 Ni 3.42
Cs: 0.8875 0.1125 0.2500  6 Bi 3.93-4.18, 2 Cs 4.13
Ni: 0.5000 0.5000 0.0000  4 Bi 2.64
Ni: 0.5000 0.5000 0.5000  4 Bi 2.64
Bi: 0.2190 0.3993 0.7500  2 Ni 2.64
Bi: 0.3993 0.2190 0.2500  2 Ni 2.64
Bi: 0.6007 0.7810 0.7500  2 Ni 2.64
Bi: 0.7810 0.6007 0.2500  2 Ni 2.64

* DFT total energy: -33.14 eV per cell
* volume: 40.4 Å³/atom
* crystal system: orthorhombic
* size of the total moment: 0.0 μB per formula unit

Crystalline Nb3P5 at its relaxed geometry. Source: OQMD, functional PBE-GGA.

Cell: 6.1531 6.1531 10.7562 Å, 90.00 90.00 133.00°
With the nearest neighbours (Å) after each atom.
Fractional coordinates of all 16 atoms:
Nb: 0.1657 0.8343 0.5445  6 P 2.47-2.57
Nb: 0.1657 0.8343 0.9555  6 P 2.47-2.57
Nb: 0.2519 0.7481 0.2500  6 P 2.46-2.64
Nb: 0.7481 0.2519 0.7500  6 P 2.46-2.64
Nb: 0.8343 0.1657 0.0445  6 P 2.47-2.57
Nb: 0.8343 0.1657 0.4555  6 P 2.47-2.57
P: 0.0377 0.9623 0.1525  1 P 2.10
P: 0.0377 0.9623 0.3475  1 P 2.10
P: 0.2638 0.7362 0.7500  4 Nb 2.46-2.47
P: 0.3735 0.6265 0.0473  4 Nb 2.49-2.58
P: 0.3735 0.6265 0.4527  4 Nb 2.49-2.58
P: 0.6265 0.3735 0.5473  4 Nb 2.49-2.58
P: 0.6265 0.3735 0.9527  4 Nb 2.49-2.58
P: 0.7362 0.2638 0.2500  4 Nb 2.46-2.47
P: 0.9623 0.0377 0.6525  1 P 2.10
P: 0.9623 0.0377 0.8475  1 P 2.10

* DFT total energy: -120.10 eV per cell
* volume: 18.6 Å³/atom
* crystal system: orthorhombic
* size of the total moment: 0.0 μB per formula unit

Crystalline TbScCu2Sn2 at its relaxed geometry. Source: OQMD, functional PBE-GGA.

Cell: 4.4748 4.4748 7.0538 Å, 90.00 90.00 120.00°
With the nearest neighbours (Å) after each atom.
Fractional coordinates of all 6 atoms:
Tb: 0.0000 0.0000 0.0000  3 Cu 2.92, 6 Sn 3.09-3.26
Sc: 0.0000 0.0000 0.4990  3 Cu 2.85, 6 Sn 3.01-3.16
Cu: 0.3333 0.6667 0.3284  4 Sn 2.66-2.76, 3 Sc 2.85
Cu: 0.6667 0.3333 0.8079  3 Sn 2.66, 3 Tb 2.92
Sn: 0.3333 0.6667 0.7193  4 Cu 2.66-2.76
Sn: 0.6667 0.3333 0.2415  3 Cu 2.66

* DFT total energy: -29.83 eV per cell
* volume: 20.4 Å³/atom
* crystal system: trigonal
* size of the total moment: 0.0 μB per formula unit

Crystalline LuNpFe at its relaxed geometry. Source: OQMD, functional PBE-GGA.

Cell: 6.2532 6.2532 6.2532 Å, 90.00 90.00 90.00°
With the nearest neighbours (Å) after each atom.
Fractional coordinates of all 12 atoms:
Lu: 0.0000 0.0000 0.0000  4 Fe 2.71
Lu: 0.0000 0.5000 0.5000  4 Fe 2.71
Lu: 0.5000 0.0000 0.5000  4 Fe 2.71
Lu: 0.5000 0.5000 0.0000  4 Fe 2.71
Np: 0.0000 0.0000 0.5000  4 Fe 2.71
Np: 0.0000 0.5000 0.0000  4 Fe 2.71
Np: 0.5000 0.0000 0.0000  4 Fe 2.71
Np: 0.5000 0.5000 0.5000  4 Fe 2.71
Fe: 0.2500 0.2500 0.2500  4 Np 2.71, 4 Lu 2.71
Fe: 0.2500 0.7500 0.7500  4 Np 2.71, 4 Lu 2.71
Fe: 0.7500 0.2500 0.7500  4 Np 2.71, 4 Lu 2.71
Fe: 0.7500 0.7500 0.2500  4 Np 2.71, 4 Lu 2.71

* DFT total energy: -97.41 eV per cell
* volume: 20.4 Å³/atom
* crystal system: cubic
* size of the total moment: 3.6 μB per formula unit

Crystalline TaHgPt2 at its relaxed geometry. Source: OQMD, functional PBE-GGA.

Cell: 6.4917 6.4917 6.4917 Å, 90.00 90.00 90.00°
With the nearest neighbours (Å) after each atom.
Fractional coordinates of all 16 atoms:
Ta: 0.0000 0.0000 0.0000  4 Hg 2.81, 4 Pt 2.81
Ta: 0.0000 0.5000 0.5000  4 Hg 2.81, 4 Pt 2.81
Ta: 0.5000 0.0000 0.5000  4 Hg 2.81, 4 Pt 2.81
Ta: 0.5000 0.5000 0.0000  4 Hg 2.81, 4 Pt 2.81
Hg: 0.2500 0.2500 0.2500  4 Pt 2.81, 4 Ta 2.81
Hg: 0.2500 0.7500 0.7500  4 Ta 2.81, 4 Pt 2.81
Hg: 0.7500 0.2500 0.7500  4 Ta 2.81, 4 Pt 2.81
Hg: 0.7500 0.7500 0.2500  4 Ta 2.81, 4 Pt 2.81
Pt: 0.0000 0.0000 0.5000  4 Pt 2.81, 4 Hg 2.81
Pt: 0.0000 0.5000 0.0000  4 Pt 2.81, 4 Hg 2.81
Pt: 0.2500 0.2500 0.7500  4 Ta 2.81, 4 Pt 2.81
Pt: 0.2500 0.7500 0.2500  4 Ta 2.81, 4 Pt 2.81
Pt: 0.5000 0.0000 0.0000  4 Pt 2.81, 4 Hg 2.81
Pt: 0.5000 0.5000 0.5000  4 Pt 2.81, 4 Hg 2.81
Pt: 0.7500 0.2500 0.2500  4 Ta 2.81, 4 Pt 2.81
Pt: 0.7500 0.7500 0.7500  4 Ta 2.81, 4 Pt 2.81

* DFT total energy: -98.05 eV per cell
* volume: 17.1 Å³/atom
* crystal system: cubic
* size of the total moment: 0.0 μB per formula unit